Compound: NaTl2In2
Source: Alexandria via LeMat-Bulk
Functional: PBE-GGA
Structure: optimized geometry

Total moment, μB per atom: 0.000
Formation energy from the elements, eV/atom: 0.01
Polymorph energy (0 for the lowest one), eV per formula unit: 0.37
Energy, eV per atom: -2.2928

a = 4.980 Å, b = 4.980 Å, c = 12.984 Å
α = 90.00°, β = 90.00°, γ = 90.00°
Positions (direct):
Na (0.000, 0.000, 0.000)
Na (0.500, 0.500, 0.500)
Tl (0.000, 0.500, 0.250)
Tl (0.000, 0.500, 0.750)
Tl (0.500, 0.000, 0.250)
Tl (0.500, 0.000, 0.750)
In (0.000, 0.000, 0.391)
In (0.000, 0.000, 0.609)
In (0.500, 0.500, 0.109)
In (0.500, 0.500, 0.891)